1.
Compound: LuMnInCo
Source: the Alexandria database
Functional: PBE
Structure: relaxed

Calculated formation energy, eV/f.u.: -0.2

Unit cell a=6.521 b=6.521 c=6.521 alpha=90.00 beta=90.00 gamma=90.00
Positions (direct):
Lu1 0.000 0.000 0.000
Lu2 0.000 0.500 0.500
Lu3 0.500 0.000 0.500
Lu4 0.500 0.500 0.000
Mn1 0.250 0.250 0.750
Mn2 0.250 0.750 0.250
Mn3 0.750 0.250 0.250
Mn4 0.750 0.750 0.750
In1 0.000 0.000 0.500
In2 0.000 0.500 0.000
In3 0.500 0.000 0.000
In4 0.500 0.500 0.500
Co1 0.250 0.250 0.250
Co2 0.250 0.750 0.750
Co3 0.750 0.250 0.750
Co4 0.750 0.750 0.250

2.
Compound: TaRe2Au
Source: the Alexandria database
Functional: PBE
Structure: relaxed

Calculated formation energy, eV/f.u.: 1.6

Unit cell a=6.403 b=6.403 c=6.403 alpha=90.00 beta=90.00 gamma=90.00
Positions (direct):
Ta1 0.000 0.000 0.000
Ta2 0.000 0.500 0.500
Ta3 0.500 0.000 0.500
Ta4 0.500 0.500 0.000
Re1 0.250 0.250 0.250
Re2 0.250 0.250 0.750
Re3 0.250 0.750 0.250
Re4 0.250 0.750 0.750
Re5 0.750 0.250 0.250
Re6 0.750 0.250 0.750
Re7 0.750 0.750 0.250
Re8 0.750 0.750 0.750
Au1 0.000 0.000 0.500
Au2 0.000 0.500 0.000
Au3 0.500 0.000 0.000
Au4 0.500 0.500 0.500

3.
Compound: Y6Bi3Ru
Source: the Alexandria database
Functional: PBE
Structure: relaxed

Calculated formation energy, eV/f.u.: -5.5

Unit cell a=6.565 b=8.454 c=12.647 alpha=90.00 beta=120.22 gamma=90.00
Positions (direct):
Y1 0.064 0.202 0.440
Y2 0.064 0.298 0.940
Y3 0.295 0.656 0.437
Y4 0.295 0.844 0.937
Y5 0.369 0.039 0.229
Y6 0.369 0.461 0.729
Y7 0.631 0.539 0.271
Y8 0.631 0.961 0.771
Y9 0.705 0.156 0.063
Y10 0.705 0.344 0.563
Y11 0.936 0.702 0.060
Y12 0.936 0.798 0.560
Bi1 0.157 0.116 0.737
Bi2 0.157 0.384 0.237
Bi3 0.500 0.000 0.500
Bi4 0.500 0.500 0.000
Bi5 0.843 0.616 0.763
Bi6 0.843 0.884 0.263
Ru1 0.000 0.000 0.000
Ru2 0.000 0.500 0.500

4.
Compound: HgTePt
Source: the Alexandria database
Functional: PBE
Structure: relaxed

Formation energy from raw total energies, kJ/mol of formula units: -62

Unit cell a=4.093 b=6.234 c=6.838 alpha=97.89 beta=90.13 gamma=108.88
Positions (direct):
Hg1 0.138 0.279 0.180
Hg2 0.862 0.721 0.820
Te1 0.391 0.780 0.305
Te2 0.609 0.220 0.695
Pt1 0.000 0.000 0.500
Pt2 0.500 0.000 0.000